Entry a
The following is a DFT calculation (GGA-PBE) of an optimized crystal structure of La3Ru2.

Cell and atoms, written as CIF:
```
data_La3Ru2
_space_group_name_H-M_alt 'R -3 c'
_space_group_IT_number 167
_space_group_name_Hall '-R 3 2"c'
_cell_length_a 7.2337
_cell_length_b 7.2337
_cell_length_c 18.9386
_cell_angle_alpha 90.00
_cell_angle_beta 90.00
_cell_angle_gamma 120.00
loop_
_atom_site_label
_atom_site_fract_x
_atom_site_fract_y
_atom_site_fract_z
La1 0.0000 0.3327 0.2500
Ru1 0.0000 0.0000 0.1686
```

Entry b
The following is a DFT calculation (GGA-PBE) of an optimized crystal structure of La3Ru2.

Cell and atoms, written as CIF:
```
data_La3Ru2
_space_group_name_H-M_alt 'F d d 2'
_space_group_IT_number 43
_space_group_name_Hall 'F 2 -2d'
_cell_length_a 11.378
_cell_length_b 14.012
_cell_length_c 6.516
_cell_angle_alpha 90.00
_cell_angle_beta 90.00
_cell_angle_gamma 90.00
loop_
_atom_site_label
_atom_site_fract_x
_atom_site_fract_y
_atom_site_fract_z
La1 0.000 0.000 0.000
La2 0.034 0.128 0.543
Ru1 0.055 0.200 0.959
```

The most stable of them is entry a.